1.
! PBE-GGA RbAuI3, optimized geometry; values from VASP
! SG = No. 99
! Uncorrected formation energy = -367 meV/atom
&SYSTEM
  ibrav = 0, nat = 5, ntyp = 3
/
ATOMIC_SPECIES
Rb 85.47 Rb.upf
Au 196.97 Au.upf
I 126.90 I.upf
ATOMIC_POSITIONS crystal
Rb 0.0000 0.0000 0.0000
Au 0.5000 0.5000 0.2774
I 0.0000 0.0000 0.6385
I 0.0000 0.5000 0.2541
I 0.5000 0.0000 0.2541
CELL_PARAMETERS angstrom
5.6123 0.0000 0.0000
0.0000 5.6123 0.0000
0.0000 0.0000 9.5404

=====

2.
! PBE-GGA Sc2P6Pd21, optimized geometry; values from VASP
! E_form = -0.6006 eV per atom
! SG = No. 225
&SYSTEM
  ibrav = 0, nat = 29, ntyp = 3
/
ATOMIC_SPECIES
Sc 44.96 Sc.upf
P 30.97 P.upf
Pd 106.42 Pd.upf
ATOMIC_POSITIONS crystal
Sc 0.2500 0.2500 0.2500
Sc 0.7500 0.7500 0.7500
P 0.2384 0.2384 0.7616
P 0.2384 0.7616 0.2384
P 0.2384 0.7616 0.7616
P 0.7616 0.2384 0.2384
P 0.7616 0.2384 0.7616
P 0.7616 0.7616 0.2384
Pd 0.1176 0.1176 0.1176
Pd 0.1176 0.1176 0.6472
Pd 0.1176 0.6472 0.1176
Pd 0.1552 0.5000 0.5000
Pd 0.1552 0.5000 0.8448
Pd 0.1552 0.8448 0.5000
Pd 0.3528 0.8824 0.8824
Pd 0.5000 0.1552 0.5000
Pd 0.5000 0.1552 0.8448
Pd 0.5000 0.5000 0.1552
Pd 0.5000 0.5000 0.5000
Pd 0.5000 0.5000 0.8448
Pd 0.5000 0.8448 0.1552
Pd 0.5000 0.8448 0.5000
Pd 0.6472 0.1176 0.1176
Pd 0.8448 0.1552 0.5000
Pd 0.8448 0.5000 0.1552
Pd 0.8448 0.5000 0.5000
Pd 0.8824 0.3528 0.8824
Pd 0.8824 0.8824 0.3528
Pd 0.8824 0.8824 0.8824
CELL_PARAMETERS angstrom
0.0000 6.0554 6.0554
6.0554 0.0000 6.0554
6.0554 6.0554 0.0000

=====

3.
! PBE-GGA Ag3Cl, optimized geometry; values from VASP
! SG = No. 221
! Uncorrected formation energy = 60 meV/atom
! Energy above the lowest structure with this stoichiometry = 0.162 eV/atom
&SYSTEM
  ibrav = 0, nat = 4, ntyp = 2
/
ATOMIC_SPECIES
Ag 107.87 Ag.upf
Cl 35.45 Cl.upf
ATOMIC_POSITIONS crystal
Ag 0.0000 0.0000 0.5000
Ag 0.0000 0.5000 0.0000
Ag 0.5000 0.0000 0.0000
Cl 0.5000 0.5000 0.5000
CELL_PARAMETERS angstrom
4.2499 0.0000 0.0000
0.0000 4.2499 0.0000
0.0000 0.0000 4.2499

=====

Number 1: M_tot 0.54 μB/cell, total DFT energy (no corrections) -2.15 eV/atom. Number 2: M_tot 0.00 μB/cell, total DFT energy (no corrections) -5.92 eV/atom. Number 3: M_tot 0.00 μB/cell, total DFT energy (no corrections) -2.54 eV/atom.